Record 1
Below is a crystal of CrRu2W relaxed with PBEsol, with properties calculated at the meta-GGA SCAN level.

## Properties
- Total magnetic moment: 0.00 Bohr magnetons per cell
- Polymorph energy (0 for the lowest one): 151.0 meV per atom
- Fermi-level density of states: 1.061 states/eV per atom
- Energy relative to the elements: 0.7 eV/f.u.
- E_tot: -39.252 eV per atom

a = 2.7128 Å, b = 3.6878 Å, c = 5.4186 Å
α = 90.00°, β = 90.00°, γ = 90.00°
With the nearest neighbours (Å) after each atom.
Element x y z (fractional)
Cr 0.0000 0.0000 0.0000  6 Ru 2.56-2.82, 2 Cr 2.71, 4 W 2.72
Ru 0.0000 0.0000 0.4792  2 Cr 2.60-2.82, 4 W 2.66, 6 Ru 2.71
Ru 0.5000 0.5000 0.2109  4 Cr 2.56, 2 W 2.61-2.81, 6 Ru 2.71
W 0.5000 0.5000 0.7300  6 Ru 2.61-2.81, 2 W 2.71, 4 Cr 2.72

Record 2
Below is a crystal of GeIrPtN2 relaxed with PBEsol, with properties calculated at the meta-GGA SCAN level.

## Properties
- Total magnetic moment: 0.00 Bohr magnetons per cell
- Fermi-level density of states: 0.530 states/eV per atom
- Formation energy without anion corrections: 834 meV per atom
- E_tot: -34.958 eV per atom

a = 3.6561 Å, b = 3.6561 Å, c = 5.9877 Å
α = 90.00°, β = 90.00°, γ = 90.00°
With the nearest neighbours (Å) after each atom.
Element x y z (fractional)
Ge 0.0000 0.0000 0.0000  4 Pt 2.59
Ir 0.0000 0.0000 0.5000  4 N 1.83
Pt 0.5000 0.5000 0.0000  4 Ge 2.59
N 0.0000 0.5000 0.5000  2 Ir 1.83
N 0.5000 0.0000 0.5000  2 Ir 1.83

Record 3
Below is a crystal of CoIr5 relaxed with PBEsol, with properties calculated at the meta-GGA SCAN level.

## Properties
- Total magnetic moment: 2.68 Bohr magnetons per cell
- Fermi-level density of states: 0.955 states/eV per atom
- Energy relative to the elements: 0.4 eV/f.u.
- E_tot: -62.072 eV per atom

a = 4.3240 Å, b = 7.0954 Å, c = 7.0954 Å
α = 22.00°, β = 90.00°, γ = 90.00°
With the nearest neighbours (Å) after each atom.
Element x y z (fractional)
Co 0.0000 0.0000 0.0000  10 Ir 2.63-2.66, 2 Co 2.71
Ir 0.0000 0.3375 0.3375  2 Co 2.64, 10 Ir 2.66-2.77
Ir 0.0000 0.6637 0.6637  10 Ir 2.65-2.77, 2 Co 2.65
Ir 0.5000 0.2217 0.2217  12 Ir 2.68-2.74
Ir 0.5000 0.5540 0.5540  8 Ir 2.62-2.71, 4 Co 2.66
Ir 0.5000 0.8927 0.8927  10 Ir 2.62-2.74, 2 Co 2.63

Record 4
Below is a crystal of Sn2WBr relaxed with PBEsol, with properties calculated at the meta-GGA SCAN level.

## Properties
- Total magnetic moment: 2.63 Bohr magnetons per cell
- Fermi-level density of states: 1.056 states/eV per atom
- Formation energy without anion corrections: 1201 meV per atom
- E_tot: -39.047 eV per atom

a = 4.9966 Å, b = 4.9966 Å, c = 4.9966 Å
α = 60.00°, β = 60.00°, γ = 60.00°
With the nearest neighbours (Å) after each atom.
Element x y z (fractional)
Sn 0.2500 0.2500 0.2500  4 Br 3.06, 4 W 3.06
Sn 0.7500 0.7500 0.7500  4 Br 3.06, 4 W 3.06
W 0.0000 0.0000 0.0000  8 Sn 3.06
Br 0.5000 0.5000 0.5000  8 Sn 3.06

The lowest E_tot belongs to which entry?
CoIr5

What is the formula in the second record?
GeIrPtN2

Fermi-level density of states of number 2 (GeIrPtN2)?
0.530 states/eV per atom